No. 1
{
  "formula": "KTl2OsO8",
  "functional": "GGA-PBE",
  "state": "optimized geometry",
  "magmom_total_mub_per_cell": 0.00,
  "formation_energy_uncorrected_kcal_per_mol_atoms": -16.65,
  "dos_at_fermi_per_ev_cell": 2.721,
  "lattice": [[4.512, 0.000, 0.000], [-0.044, 5.430, 0.000], [-1.578, -0.081, 7.157]],
  "species": ["K", "Tl", "Tl", "Os", "O", "O", "O", "O", "O", "O", "O", "O"],
  "frac_coords": [[0.000, 0.000, 0.000], [0.462, 0.511, 0.728], [0.538, 0.489, 0.272], [0.000, 0.000, 0.500], [0.153, 0.465, 0.996], [0.191, 0.828, 0.346], [0.224, 0.301, 0.472], [0.296, 0.912, 0.714], [0.704, 0.088, 0.286], [0.776, 0.699, 0.528], [0.809, 0.172, 0.654], [0.847, 0.535, 0.004]]
}


No. 2
{
  "formula": "KTl2Os3O12",
  "functional": "GGA-PBE",
  "state": "optimized geometry",
  "magmom_total_mub_per_cell": 0.00,
  "formation_energy_uncorrected_kcal_per_mol_atoms": -23.22,
  "dos_at_fermi_per_ev_cell": 1.098,
  "lattice": [[3.671, 2.119, 5.885], [-3.671, 2.119, 5.885], [0.000, -4.239, 5.885]],
  "species": ["K", "Tl", "Tl", "Os", "Os", "Os", "O", "O", "O", "O", "O", "O", "O", "O", "O", "O", "O", "O"],
  "frac_coords": [[0.000, 0.000, 0.000], [0.391, 0.391, 0.391], [0.609, 0.609, 0.609], [0.000, 0.000, 0.500], [0.000, 0.500, 0.000], [0.500, 0.000, 0.000], [0.110, 0.727, 0.727], [0.135, 0.135, 0.525], [0.135, 0.525, 0.135], [0.273, 0.273, 0.890], [0.273, 0.890, 0.273], [0.475, 0.865, 0.865], [0.525, 0.135, 0.135], [0.727, 0.110, 0.727], [0.727, 0.727, 0.110], [0.865, 0.475, 0.865], [0.865, 0.865, 0.475], [0.890, 0.273, 0.273]]
}


No. 3
{
  "formula": "KTlOsO5",
  "functional": "GGA-PBE",
  "state": "optimized geometry",
  "magmom_total_mub_per_cell": 2.52,
  "formation_energy_uncorrected_kcal_per_mol_atoms": -23.50,
  "dos_at_fermi_per_ev_cell": 7.917,
  "lattice": [[3.902, -5.405, 0.000], [3.902, 5.405, 0.000], [-2.593, 0.000, 7.298]],
  "species": ["K", "K", "Tl", "Tl", "Os", "Os", "O", "O", "O", "O", "O", "O", "O", "O", "O", "O"],
  "frac_coords": [[0.175, 0.825, 0.750], [0.825, 0.175, 0.250], [0.500, 0.500, 0.000], [0.500, 0.500, 0.500], [0.177, 0.823, 0.250], [0.823, 0.177, 0.750], [0.065, 0.226, 0.924], [0.163, 0.606, 0.358], [0.226, 0.065, 0.424], [0.394, 0.837, 0.142], [0.422, 0.578, 0.750], [0.578, 0.422, 0.250], [0.606, 0.163, 0.858], [0.774, 0.935, 0.576], [0.837, 0.394, 0.642], [0.935, 0.774, 0.076]]
}


No. 4
{
  "formula": "K4TlOs3O12",
  "functional": "GGA-PBE",
  "state": "optimized geometry",
  "magmom_total_mub_per_cell": 0.01,
  "formation_energy_uncorrected_kcal_per_mol_atoms": -25.65,
  "dos_at_fermi_per_ev_cell": 6.995,
  "lattice": [[-4.038, 4.038, 4.038], [4.038, -4.038, 4.038], [4.038, 4.038, -4.038]],
  "species": ["K", "K", "K", "K", "Tl", "Os", "Os", "Os", "O", "O", "O", "O", "O", "O", "O", "O", "O", "O", "O", "O"],
  "frac_coords": [[0.000, 0.000, 0.500], [0.000, 0.500, 0.000], [0.500, 0.000, 0.000], [0.500, 0.500, 0.500], [0.000, 0.000, 0.000], [0.000, 0.500, 0.500], [0.500, 0.000, 0.500], [0.500, 0.500, 0.000], [0.000, 0.269, 0.269], [0.000, 0.731, 0.731], [0.250, 0.500, 0.750], [0.250, 0.750, 0.500], [0.269, 0.000, 0.269], [0.269, 0.269, 0.000], [0.500, 0.250, 0.750], [0.500, 0.750, 0.250], [0.731, 0.000, 0.731], [0.731, 0.731, 0.000], [0.750, 0.250, 0.500], [0.750, 0.500, 0.250]]
}


No. 5
{
  "formula": "K2Tl2OsO4",
  "functional": "GGA-PBE",
  "state": "optimized geometry",
  "magmom_total_mub_per_cell": 2.02,
  "formation_energy_uncorrected_kcal_per_mol_atoms": -17.97,
  "dos_at_fermi_per_ev_cell": 0.777,
  "lattice": [[-3.202, 3.202, 4.317], [3.202, -3.202, 4.317], [3.202, 3.202, -4.317]],
  "species": ["K", "K", "Tl", "Tl", "Os", "O", "O", "O", "O"],
  "frac_coords": [[0.250, 0.750, 0.500], [0.750, 0.250, 0.500], [0.162, 0.162, 0.000], [0.838, 0.838, 0.000], [0.500, 0.500, 0.000], [0.288, 0.288, 0.575], [0.288, 0.712, 0.000], [0.712, 0.288, 0.000], [0.712, 0.712, 0.425]]
}


No. 6
{
  "formula": "K2Tl3OsO6",
  "functional": "GGA-PBE",
  "state": "optimized geometry",
  "magmom_total_mub_per_cell": 0.96,
  "formation_energy_uncorrected_kcal_per_mol_atoms": -24.69,
  "dos_at_fermi_per_ev_cell": 3.543,
  "lattice": [[3.218, -5.733, 0.000], [3.218, 5.733, 0.000], [-1.881, 0.000, 5.925]],
  "species": ["K", "K", "Tl", "Tl", "Tl", "Os", "O", "O", "O", "O", "O", "O"],
  "frac_coords": [[0.170, 0.830, 0.000], [0.830, 0.170, 0.000], [0.000, 0.000, 0.500], [0.345, 0.655, 0.500], [0.655, 0.345, 0.500], [0.500, 0.500, 0.000], [0.201, 0.434, 0.820], [0.325, 0.325, 0.216], [0.434, 0.201, 0.820], [0.566, 0.799, 0.180], [0.675, 0.675, 0.784], [0.799, 0.566, 0.180]]
}


No. 7
{
  "formula": "K3TlOs2O9",
  "functional": "GGA-PBE",
  "state": "optimized geometry",
  "magmom_total_mub_per_cell": 0.00,
  "formation_energy_uncorrected_kcal_per_mol_atoms": -26.36,
  "dos_at_fermi_per_ev_cell": 4.142,
  "lattice": [[5.716, 0.000, 0.000], [-2.858, 4.950, 0.000], [0.000, 0.000, 7.206]],
  "species": ["K", "K", "K", "Tl", "Os", "Os", "O", "O", "O", "O", "O", "O", "O", "O", "O"],
  "frac_coords": [[0.000, 0.000, 0.000], [0.333, 0.667, 0.661], [0.667, 0.333, 0.339], [0.000, 0.000, 0.500], [0.333, 0.667, 0.152], [0.667, 0.333, 0.848], [0.000, 0.500, 0.000], [0.176, 0.353, 0.302], [0.176, 0.824, 0.302], [0.353, 0.176, 0.698], [0.500, 0.000, 0.000], [0.500, 0.500, 0.000], [0.647, 0.824, 0.302], [0.824, 0.176, 0.698], [0.824, 0.647, 0.698]]
}


No. 8
{
  "formula": "K3TlOs2O8",
  "functional": "GGA-PBE",
  "state": "optimized geometry",
  "magmom_total_mub_per_cell": 4.01,
  "formation_energy_uncorrected_kcal_per_mol_atoms": -27.74,
  "lattice": [[6.310, 0.000, 0.000], [-3.155, 5.465, 0.000], [0.000, 0.000, 8.281]],
  "species": ["K", "K", "K", "Tl", "Os", "Os", "O", "O", "O", "O", "O", "O", "O", "O"],
  "frac_coords": [[0.000, 0.000, 0.000], [0.333, 0.667, 0.667], [0.667, 0.333, 0.333], [0.000, 0.000, 0.500], [0.333, 0.667, 0.190], [0.667, 0.333, 0.810], [0.180, 0.360, 0.277], [0.180, 0.820, 0.277], [0.333, 0.667, 0.974], [0.360, 0.180, 0.723], [0.640, 0.820, 0.277], [0.667, 0.333, 0.026], [0.820, 0.180, 0.723], [0.820, 0.640, 0.723]]
}


No. 9
{
  "formula": "K2Tl2OsO6",
  "functional": "GGA-PBE",
  "state": "optimized geometry",
  "magmom_total_mub_per_cell": 0.00,
  "formation_energy_uncorrected_kcal_per_mol_atoms": -26.16,
  "lattice": [[3.307, -5.493, 0.000], [3.307, 5.493, 0.000], [-1.570, 0.000, 5.975]],
  "species": ["K", "K", "Tl", "Tl", "Os", "O", "O", "O", "O", "O", "O"],
  "frac_coords": [[0.157, 0.843, 0.000], [0.843, 0.157, 0.000], [0.342, 0.658, 0.500], [0.658, 0.342, 0.500], [0.500, 0.500, 0.000], [0.210, 0.452, 0.832], [0.330, 0.330, 0.216], [0.452, 0.210, 0.832], [0.548, 0.790, 0.168], [0.670, 0.670, 0.784], [0.790, 0.548, 0.168]]
}


No. 10
{
  "formula": "K3TmOs2O9",
  "functional": "GGA-PBE",
  "state": "optimized geometry",
  "magmom_total_mub_per_cell": 0.00,
  "formation_energy_uncorrected_kcal_per_mol_atoms": -40.23,
  "dos_at_fermi_per_ev_cell": 3.632,
  "lattice": [[5.710, 0.000, 0.000], [-2.855, 4.945, 0.000], [0.000, 0.000, 7.057]],
  "species": ["K", "K", "K", "Tm", "Os", "Os", "O", "O", "O", "O", "O", "O", "O", "O", "O"],
  "frac_coords": [[0.000, 0.000, 0.000], [0.333, 0.667, 0.663], [0.667, 0.333, 0.337], [0.000, 0.000, 0.500], [0.333, 0.667, 0.156], [0.667, 0.333, 0.844], [0.000, 0.500, 0.000], [0.177, 0.355, 0.312], [0.177, 0.823, 0.312], [0.355, 0.177, 0.688], [0.500, 0.000, 0.000], [0.500, 0.500, 0.000], [0.645, 0.823, 0.312], [0.823, 0.177, 0.688], [0.823, 0.645, 0.688]]
}


No. 11
{
  "formula": "K2TmOs3O12",
  "functional": "GGA-PBE",
  "state": "optimized geometry",
  "magmom_total_mub_per_cell": 2.20,
  "formation_energy_uncorrected_kcal_per_mol_atoms": -34.45,
  "dos_at_fermi_per_ev_cell": 8.593,
  "lattice": [[3.660, 2.113, 6.148], [-3.660, 2.113, 6.148], [0.000, -4.226, 6.148]],
  "species": ["K", "K", "Tm", "Os", "Os", "Os", "O", "O", "O", "O", "O", "O", "O", "O", "O", "O", "O", "O"],
  "frac_coords": [[0.131, 0.131, 0.131], [0.869, 0.869, 0.869], [0.500, 0.500, 0.500], [0.000, 0.500, 0.500], [0.500, 0.000, 0.500], [0.500, 0.500, 0.000], [0.143, 0.580, 0.580], [0.196, 0.196, 0.575], [0.196, 0.575, 0.196], [0.420, 0.420, 0.857], [0.420, 0.857, 0.420], [0.425, 0.804, 0.804], [0.575, 0.196, 0.196], [0.580, 0.143, 0.580], [0.580, 0.580, 0.143], [0.804, 0.425, 0.804], [0.804, 0.804, 0.425], [0.857, 0.420, 0.420]]
}


No. 12
{
  "formula": "KTm2OsO8",
  "functional": "GGA-PBE",
  "state": "optimized geometry",
  "magmom_total_mub_per_cell": 0.00,
  "formation_energy_uncorrected_kcal_per_mol_atoms": -45.43,
  "dos_at_fermi_per_ev_cell": 1.897,
  "lattice": [[4.575, 0.000, 0.000], [-0.073, 5.126, 0.000], [-0.025, -0.005, 7.242]],
  "species": ["K", "Tm", "Tm", "Os", "O", "O", "O", "O", "O", "O", "O", "O"],
  "frac_coords": [[0.000, 0.000, 0.000], [0.499, 0.500, 0.740], [0.501, 0.500, 0.260], [0.000, 0.000, 0.500], [0.228, 0.849, 0.319], [0.231, 0.852, 0.682], [0.252, 0.307, 0.499], [0.254, 0.476, 0.000], [0.746, 0.524, 0.000], [0.748, 0.693, 0.501], [0.769, 0.148, 0.318], [0.772, 0.151, 0.681]]
}


No. 13
{
  "formula": "K3Tm3OsO8",
  "functional": "GGA-PBE",
  "state": "optimized geometry",
  "magmom_total_mub_per_cell": 2.00,
  "formation_energy_uncorrected_kcal_per_mol_atoms": -55.53,
  "dos_at_fermi_per_ev_cell": 5.690,
  "lattice": [[3.336, 1.926, 6.261], [-3.336, 1.926, 6.261], [0.000, -3.852, 6.261]],
  "species": ["K", "K", "K", "Tm", "Tm", "Tm", "Os", "O", "O", "O", "O", "O", "O", "O", "O"],
  "frac_coords": [[0.000, 0.500, 0.500], [0.500, 0.000, 0.500], [0.500, 0.500, 0.000], [0.000, 0.000, 0.500], [0.000, 0.500, 0.000], [0.500, 0.000, 0.000], [0.500, 0.500, 0.500], [0.227, 0.227, 0.227], [0.246, 0.713, 0.713], [0.287, 0.287, 0.754], [0.287, 0.754, 0.287], [0.713, 0.246, 0.713], [0.713, 0.713, 0.246], [0.754, 0.287, 0.287], [0.773, 0.773, 0.773]]
}


No. 14
{
  "formula": "K2TmOsO6",
  "functional": "GGA-PBE",
  "state": "optimized geometry",
  "magmom_total_mub_per_cell": 0.95,
  "formation_energy_uncorrected_kcal_per_mol_atoms": -40.50,
  "dos_at_fermi_per_ev_cell": 5.629,
  "lattice": [[6.234, 0.000, 0.000], [-3.117, 5.399, 0.000], [0.000, 0.000, 5.683]],
  "species": ["K", "K", "Tm", "Os", "O", "O", "O", "O", "O", "O"],
  "frac_coords": [[0.333, 0.667, 0.392], [0.667, 0.333, 0.608], [0.000, 0.000, 0.000], [0.000, 0.000, 0.500], [0.140, 0.280, 0.707], [0.140, 0.860, 0.707], [0.280, 0.140, 0.293], [0.720, 0.860, 0.707], [0.860, 0.140, 0.293], [0.860, 0.720, 0.293]]
}


No. 15
{
  "formula": "K2UOsO8",
  "functional": "GGA-PBE",
  "state": "optimized geometry",
  "magmom_total_mub_per_cell": 0.00,
  "formation_energy_uncorrected_kcal_per_mol_atoms": -42.87,
  "lattice": [[5.657, 0.000, 0.000], [0.000, 6.550, 0.000], [-0.135, 0.000, 5.701]],
  "species": ["K", "K", "U", "Os", "O", "O", "O", "O", "O", "O", "O", "O"],
  "frac_coords": [[0.000, 0.242, 0.000], [0.000, 0.758, 0.000], [0.500, 0.500, 0.500], [0.500, 0.000, 0.500], [0.268, 0.500, 0.263], [0.276, 0.000, 0.270], [0.339, 0.220, 0.654], [0.339, 0.780, 0.654], [0.661, 0.220, 0.346], [0.661, 0.780, 0.346], [0.724, 0.000, 0.730], [0.732, 0.500, 0.737]]
}


No. 16
{
  "formula": "KUOsO6",
  "functional": "GGA-PBE",
  "state": "optimized geometry",
  "magmom_total_mub_per_cell": 1.91,
  "formation_energy_uncorrected_kcal_per_mol_atoms": -48.27,
  "dos_at_fermi_per_ev_cell": 6.671,
  "lattice": [[-3.645, 3.934, 5.343], [3.645, -3.934, 5.343], [3.645, 3.934, -5.343]],
  "species": ["K", "K", "U", "U", "Os", "Os", "O", "O", "O", "O", "O", "O", "O", "O", "O", "O", "O", "O"],
  "frac_coords": [[0.352, 0.102, 0.250], [0.648, 0.898, 0.750], [0.000, 0.500, 0.500], [0.500, 0.500, 0.000], [0.000, 0.000, 0.500], [0.000, 0.500, 0.000], [0.037, 0.787, 0.250], [0.049, 0.413, 0.219], [0.049, 0.831, 0.636], [0.305, 0.169, 0.719], [0.305, 0.587, 0.136], [0.327, 0.577, 0.750], [0.673, 0.423, 0.250], [0.695, 0.413, 0.864], [0.695, 0.831, 0.281], [0.951, 0.169, 0.364], [0.951, 0.587, 0.781], [0.963, 0.213, 0.750]]
}